VASP calculation (GGA-PBE) on an optimized crystal structure of Nb3AsPd.

a = 4.8552 Å, b = 4.8552 Å, c = 4.8552 Å
α = 90.00°, β = 90.00°, γ = 90.00°
Fractional positions:
1 Nb 0.0000 0.0000 0.5000
2 Nb 0.0000 0.5000 0.0000
3 Nb 0.5000 0.0000 0.0000
4 As 0.5000 0.5000 0.5000
5 Pd 0.0000 0.0000 0.0000

Values from the calculation:
**Final energy**: -6.79 eV per atom
**E_form**: 1.22 eV/atom
**Space-group type**: Pm-3m (221)
**ΔE to the lowest computed polymorph**: 511 meV/atom

VASP calculation (GGA-PBE) on an optimized crystal structure of TaSi2Se.

a = 4.5419 Å, b = 4.5419 Å, c = 4.5419 Å
α = 60.00°, β = 60.00°, γ = 60.00°
Fractional positions:
1 Ta 0.0000 0.0000 0.0000
2 Si 0.5000 0.5000 0.5000
3 Si 0.7500 0.7500 0.7500
4 Se 0.2500 0.2500 0.2500

Values from the calculation:
**Final energy**: -6.11 eV per atom
**ΔE_f (raw)**: 440 meV/atom
**Space-group type**: F-43m (216)

VASP calculation (GGA-PBE) on an optimized crystal structure of PmTm8Th2.

a = 6.0896 Å, b = 7.8906 Å, c = 7.8928 Å
α = 107.47°, β = 104.96°, γ = 97.61°
Fractional positions:
1 Pm 0.0000 0.0000 0.0000
2 Tm 0.1807 0.6355 0.7247
3 Tm 0.2684 0.4573 0.0879
4 Tm 0.3597 0.2712 0.4566
5 Tm 0.4476 0.0905 0.8134
6 Tm 0.5524 0.9095 0.1866
7 Tm 0.6403 0.7288 0.5434
8 Tm 0.7316 0.5427 0.9121
9 Tm 0.8193 0.3645 0.2753
10 Th 0.0903 0.8180 0.3678
11 Th 0.9097 0.1820 0.6322

Values from the calculation:
**Final energy**: -5.00 eV per atom
**E_form**: 0.03 eV/atom
**Space-group type**: P-1 (2)
**ΔE to the lowest computed polymorph**: 0 meV/atom

VASP calculation (GGA-PBE) on an optimized crystal structure of RbSnB.

a = 3.8463 Å, b = 5.6214 Å, c = 8.0073 Å
α = 90.00°, β = 91.46°, γ = 90.00°
Fractional positions:
1 Rb 0.0000 0.0000 0.0000
2 Rb 0.4679 0.5000 0.3442
3 Sn 0.4911 0.5000 0.8140
4 Sn 0.9750 0.0000 0.5137
5 B 0.4843 0.1411 0.6868
6 B 0.4843 0.8589 0.6868

Values from the calculation:
**Final energy**: -3.64 eV per atom
**E_form**: 0.25 eV/atom
**Space-group type**: Pm (6)

VASP calculation (GGA-PBE) on an optimized crystal structure of Rb2V3Cl8.

a = 8.6516 Å, b = 8.6516 Å, c = 6.5430 Å
α = 105.50°, β = 105.50°, γ = 51.92°
Fractional positions:
1 Rb 0.2355 0.2355 0.1750
2 Rb 0.7645 0.7645 0.8250
3 V 0.2465 0.7535 0.5000
4 V 0.5000 0.5000 0.0000
5 V 0.7535 0.2465 0.5000
6 Cl 0.0969 0.0969 0.4507
7 Cl 0.1813 0.6396 0.1157
8 Cl 0.3604 0.8187 0.8843
9 Cl 0.4115 0.4115 0.6062
10 Cl 0.5885 0.5885 0.3938
11 Cl 0.6396 0.1813 0.1157
12 Cl 0.8187 0.3604 0.8843
13 Cl 0.9031 0.9031 0.5493

Values from the calculation:
**Final energy**: -4.77 eV per atom
**ΔE_f (raw)**: -1381 meV/atom
**Space-group type**: C2/m (12)

VASP calculation (GGA-PBE) on an optimized crystal structure of Ba2TmOsN4.

a = 12.1675 Å, b = 10.9012 Å, c = 6.7935 Å
α = 83.43°, β = 62.88°, γ = 33.69°
Fractional positions:
1 Ba 0.0606 0.0606 0.6894
2 Ba 0.3106 0.3106 0.9394
3 Ba 0.6894 0.6894 0.0606
4 Ba 0.9394 0.9394 0.3106
5 Tm 0.1250 0.1250 0.1250
6 Tm 0.8750 0.8750 0.8750
7 Os 0.3750 0.3750 0.3750
8 Os 0.6250 0.6250 0.6250
9 N 0.0265 0.6526 0.5237
10 N 0.2973 0.5237 0.6526
11 N 0.3474 0.9735 0.7027
12 N 0.4763 0.7027 0.9735
13 N 0.5237 0.2973 0.0265
14 N 0.6526 0.0265 0.2973
15 N 0.7027 0.4763 0.3474
16 N 0.9735 0.3474 0.4763

Values from the calculation:
**Final energy**: -6.84 eV per atom
**ΔE_f (raw)**: -232 meV/atom
**Space-group type**: Fddd (70)